Density functional theory data (PBE-GGA) for CeScS2O after structural relaxation.

Cell: 3.7976 3.7976 13.1206 Å, 90.00 90.00 90.00°
Last column: nearest neighbours and their distance in Å.
Fractional coordinates of all 10 atoms:
Ce (0.2500, 0.2500, 0.1009)  4 O 2.31
Ce (0.7500, 0.7500, 0.8991)  4 O 2.31
Sc (0.2500, 0.2500, 0.6057)  6 S 2.48-2.69
Sc (0.7500, 0.7500, 0.3943)  6 S 2.48-2.69
S (0.2500, 0.2500, 0.4042)  5 Sc 2.64-2.69
S (0.2500, 0.2500, 0.7950)  1 Sc 2.48
S (0.7500, 0.7500, 0.2050)  1 Sc 2.48
S (0.7500, 0.7500, 0.5958)  5 Sc 2.64-2.69
O (0.2500, 0.7500, 0.0000)  4 Ce 2.31
O (0.7500, 0.2500, 0.0000)  4 Ce 2.31

Calculated values
The calculated total energy is -75.55 eV/cell. Its calculated volume is 189 Å³/cell. The value obtained for the magnetization is 0.66 μB/f.u.



Density functional theory data (PBE-GGA) for Pa2RuPt after structural relaxation.

Cell: 5.7463 7.6265 4.1831 Å, 90.00 90.00 90.00°
Last column: nearest neighbours and their distance in Å.
Fractional coordinates of all 8 atoms:
Pa (0.2347, 0.1664, 0.0000)  3 Ru 2.79-2.97, 3 Pt 2.88
Pa (0.2653, 0.6664, 0.5000)  3 Ru 2.79-2.97, 3 Pt 2.88
Pa (0.7347, 0.3336, 0.5000)  3 Ru 2.79-2.97, 3 Pt 2.88
Pa (0.7653, 0.8336, 0.0000)  3 Ru 2.79-2.97, 3 Pt 2.88
Ru (0.0000, 0.0000, 0.5000)  6 Pa 2.79-2.97, 2 Pt 2.87
Ru (0.5000, 0.5000, 0.0000)  6 Pa 2.79-2.97, 2 Pt 2.87
Pt (0.0000, 0.5000, 0.0000)  2 Ru 2.87, 6 Pa 2.88
Pt (0.5000, 0.0000, 0.5000)  2 Ru 2.87, 6 Pa 2.88

Calculated values
The calculated total energy is -73.85 eV/cell. Its calculated volume is 183 Å³/cell. The value obtained for the magnetization is 0.00 μB/f.u.



Density functional theory data (PBE-GGA) for ScRe3Rh after structural relaxation.

Cell: 4.6846 4.6846 4.6846 Å, 90.00 90.00 90.00°
Last column: nearest neighbours and their distance in Å.
Fractional coordinates of all 5 atoms:
Sc (0.0000, 0.0000, 0.0000)  12 Re 3.31
Re (0.0000, 0.5000, 0.5000)  2 Rh 2.34
Re (0.5000, 0.0000, 0.5000)  2 Rh 2.34
Re (0.5000, 0.5000, 0.0000)  2 Rh 2.34
Rh (0.5000, 0.5000, 0.5000)  6 Re 2.34

Calculated values
As for the excess energy over the best structure of this formula in the dataset: 0 meV/atom. Its calculated volume is 103 Å³/cell. The value obtained for the magnetization is 0.00 μB/f.u.



Density functional theory data (PBE-GGA) for HfNb3Pd after structural relaxation.

Cell: 4.8533 4.8533 4.8533 Å, 90.00 90.00 90.00°
Last column: nearest neighbours and their distance in Å.
Fractional coordinates of all 5 atoms:
Hf (0.0000, 0.0000, 0.0000)  12 Nb 3.43
Nb (0.0000, 0.5000, 0.5000)  2 Pd 2.43
Nb (0.5000, 0.0000, 0.5000)  2 Pd 2.43
Nb (0.5000, 0.5000, 0.0000)  2 Pd 2.43
Pd (0.5000, 0.5000, 0.5000)  6 Nb 2.43

Calculated values
As for the excess energy over the best structure of this formula in the dataset: 0 meV/atom. Its calculated volume is 114 Å³/cell. The value obtained for the magnetization is 0.00 μB/f.u.



Density functional theory data (PBE-GGA) for CsInSb2Te after structural relaxation.

Cell: 6.3209 6.3209 6.5288 Å, 90.00 90.00 90.00°
Last column: nearest neighbours and their distance in Å.
Fractional coordinates of all 5 atoms:
Cs (0.0000, 0.0000, 0.0000)  4 Sb 3.16, 2 Te 3.26
In (0.5000, 0.5000, 0.5000)  4 Te 4.47, 8 Sb 4.54
Sb (0.0000, 0.5000, 0.0000)  2 Cs 3.16
Sb (0.5000, 0.0000, 0.0000)  2 Cs 3.16
Te (0.0000, 0.0000, 0.5000)  2 Cs 3.26

Calculated values
As for the excess energy over the best structure of this formula in the dataset: 981 meV/atom. Its calculated volume is 261 Å³/cell. The value obtained for the magnetization is 1.09 μB/f.u.



Density functional theory data (PBE-GGA) for TbSm6Dy2Mg after structural relaxation.

Cell: 8.9141 8.9141 9.2518 Å, 92.32 92.32 117.61°
Last column: nearest neighbours and their distance in Å.
Fractional coordinates of all 20 atoms:
Tb (0.0252, 0.9748, 0.7500)  4 Dy 3.38-3.57, 6 Sm 3.54-3.69
Tb (0.9748, 0.0252, 0.2500)  4 Dy 3.38-3.57, 6 Sm 3.54-3.69
Sm (0.0030, 0.4334, 0.2997)  5 Sm 3.31-3.67, 1 Mg 3.37, 1 Dy 3.39, 1 Tb 3.54
Sm (0.1327, 0.7783, 0.0533)  1 Dy 3.40, 7 Sm 3.44-3.67, 2 Tb 3.59-3.69
Sm (0.2217, 0.8673, 0.4467)  1 Dy 3.40, 7 Sm 3.44-3.67, 2 Tb 3.59-3.69
Sm (0.2817, 0.5052, 0.8951)  3 Dy 3.19-3.44, 4 Sm 3.31-3.56, 2 Mg 3.39-3.41
Sm (0.4334, 0.0030, 0.7997)  5 Sm 3.31-3.67, 1 Mg 3.37, 1 Dy 3.39, 1 Tb 3.54
Sm (0.4948, 0.7183, 0.6049)  3 Dy 3.19-3.44, 4 Sm 3.31-3.56, 2 Mg 3.39-3.41
Sm (0.5052, 0.2817, 0.3951)  3 Dy 3.19-3.44, 4 Sm 3.31-3.56, 2 Mg 3.39-3.41
Sm (0.5666, 0.9970, 0.2003)  5 Sm 3.31-3.67, 1 Mg 3.37, 1 Dy 3.39, 1 Tb 3.54
Sm (0.7183, 0.4948, 0.1049)  3 Dy 3.19-3.44, 4 Sm 3.31-3.56, 2 Mg 3.39-3.41
Sm (0.7783, 0.1327, 0.5533)  1 Dy 3.40, 7 Sm 3.44-3.67, 2 Tb 3.59-3.69
Sm (0.8673, 0.2217, 0.9467)  1 Dy 3.40, 7 Sm 3.44-3.67, 2 Tb 3.59-3.69
Sm (0.9970, 0.5666, 0.7003)  5 Sm 3.31-3.67, 1 Mg 3.37, 1 Dy 3.39, 1 Tb 3.54
Dy (0.2085, 0.3160, 0.5505)  5 Sm 3.19-3.44, 2 Tb 3.38-3.57, 1 Mg 3.44
Dy (0.3160, 0.2085, 0.0505)  5 Sm 3.19-3.44, 2 Tb 3.38-3.57, 1 Mg 3.44
Dy (0.6840, 0.7915, 0.9495)  5 Sm 3.19-3.44, 2 Tb 3.38-3.57, 1 Mg 3.44
Dy (0.7915, 0.6840, 0.4495)  5 Sm 3.19-3.44, 2 Tb 3.38-3.57, 1 Mg 3.44
Mg (0.4190, 0.5810, 0.2500)  6 Sm 3.37-3.41, 4 Dy 3.44-3.70
Mg (0.5810, 0.4190, 0.7500)  6 Sm 3.37-3.41, 4 Dy 3.44-3.70

Calculated values
The calculated total energy is -85.09 eV/cell. Its calculated volume is 649 Å³/cell. The value obtained for the magnetization is 0.00 μB/f.u.



Density functional theory data (PBE-GGA) for Be2HgAs after structural relaxation.

Cell: 3.2324 3.2324 5.8614 Å, 90.00 90.00 90.00°
Last column: nearest neighbours and their distance in Å.
Fractional coordinates of all 4 atoms:
Be (0.0000, 0.0000, 0.1862)  1 Be 2.18
Be (0.0000, 0.0000, 0.8138)  1 Be 2.18
Hg (0.5000, 0.5000, 0.5000)  2 As 2.93, 8 Be 2.93, 4 Hg 3.23
As (0.5000, 0.5000, 0.0000)  8 Be 2.53

Calculated values
The calculated total energy is -10.30 eV/cell. Its calculated volume is 61 Å³/cell. The value obtained for the magnetization is 0.00 μB/f.u.



Density functional theory data (PBE-GGA) for La2SmY2Mg after structural relaxation.

Cell: 10.9985 11.7605 3.6053 Å, 90.00 90.00 90.00°
Last column: nearest neighbours and their distance in Å.
Fractional coordinates of all 12 atoms:
La (0.2500, 0.0612, 0.0000)  2 Sm 3.37, 2 Mg 3.37, 2 Y 3.60, 2 La 3.61
La (0.2500, 0.5612, 0.5000)  2 Sm 3.37, 2 Mg 3.37, 2 Y 3.60, 2 La 3.61
La (0.7500, 0.4388, 0.5000)  2 Sm 3.37, 2 Mg 3.37, 2 Y 3.60, 2 La 3.61
La (0.7500, 0.9388, 0.0000)  2 Sm 3.37, 2 Mg 3.37, 2 Y 3.60, 2 La 3.61
Sm (0.0000, 0.0000, 0.5000)  4 La 3.37, 4 Y 3.38, 2 Sm 3.61
Sm (0.5000, 0.5000, 0.0000)  4 La 3.37, 4 Y 3.38, 2 Sm 3.61
Y (0.0693, 0.7659, 0.0000)  1 Mg 3.22, 2 Sm 3.38
Y (0.4307, 0.2659, 0.5000)  1 Mg 3.22, 2 Sm 3.38
Y (0.5693, 0.7341, 0.5000)  1 Mg 3.22, 2 Sm 3.38
Y (0.9307, 0.2341, 0.0000)  1 Mg 3.22, 2 Sm 3.38
Mg (0.0000, 0.5000, 0.0000)  2 Y 3.22, 4 La 3.37
Mg (0.5000, 0.0000, 0.5000)  2 Y 3.22, 4 La 3.37

Calculated values
The calculated total energy is -52.82 eV/cell. Its calculated volume is 466 Å³/cell. The value obtained for the magnetization is 0.00 μB/f.u.



Density functional theory data (PBE-GGA) for Tb4Nd3Tm4 after structural relaxation.

Cell: 10.6139 6.6410 6.6410 Å, 50.70 90.00 90.00°
Last column: nearest neighbours and their distance in Å.
Fractional coordinates of all 11 atoms:
Tb (0.0000, 0.0000, 0.0000)  2 Tm 3.08, 2 Tb 3.37
Tb (0.2143, 0.7932, 0.7932)  4 Tm 3.25-3.46, 2 Tb 3.37-3.45, 4 Nd 3.51-3.64
Tb (0.5000, 0.9304, 0.9304)  3 Tm 3.28-3.36, 2 Tb 3.45, 4 Nd 3.62
Tb (0.7857, 0.7932, 0.7932)  4 Tm 3.25-3.46, 2 Tb 3.37-3.45, 4 Nd 3.51-3.64
Nd (0.0000, 0.2966, 0.2966)  7 Tb 3.56-3.75, 2 Nd 3.60, 5 Tm 3.63-3.70
Nd (0.2898, 0.4516, 0.4516)  5 Tm 3.32-3.68, 4 Tb 3.51-3.62, 1 Nd 3.60
Nd (0.7102, 0.4516, 0.4516)  5 Tm 3.32-3.68, 4 Tb 3.51-3.62, 1 Nd 3.60
Tm (0.0000, 0.5993, 0.5993)  4 Tb 3.08-3.25
Tm (0.2983, 0.1460, 0.1460)  4 Tb 3.36-3.62, 2 Tm 3.56, 4 Nd 3.65-3.68
Tm (0.5000, 0.6570, 0.6570)  3 Tb 3.28-3.44, 2 Nd 3.32, 4 Tm 3.56
Tm (0.7017, 0.1460, 0.1460)  4 Tb 3.36-3.62, 2 Tm 3.56, 4 Nd 3.65-3.68

Calculated values
As for the excess energy over the best structure of this formula in the dataset: 137 meV/atom. Its calculated volume is 362 Å³/cell. The value obtained for the magnetization is 0.00 μB/f.u.



Density functional theory data (PBE-GGA) for Tb4Ce9In11 after structural relaxation.

Cell: 14.6969 14.6969 3.4173 Å, 90.00 90.00 116.70°
Last column: nearest neighbours and their distance in Å.
Fractional coordinates of all 24 atoms:
Tb (0.0808, 0.2671, 0.0000)  6 In 3.21-3.33, 3 Ce 3.31-3.55, 2 Tb 3.42
Tb (0.2671, 0.0808, 0.0000)  6 In 3.21-3.33, 3 Ce 3.31-3.55, 2 Tb 3.42
Tb (0.7329, 0.9192, 0.0000)  6 In 3.21-3.33, 3 Ce 3.31-3.55, 2 Tb 3.42
Tb (0.9192, 0.7329, 0.0000)  6 In 3.21-3.33, 3 Ce 3.31-3.55, 2 Tb 3.42
Ce (0.0000, 0.0000, 0.0000)  4 In 3.41, 2 Ce 3.42, 4 Tb 3.55
Ce (0.1336, 0.6857, 0.0000)  1 Ce 2.79
Ce (0.2979, 0.4788, 0.0000)  8 In 3.29-3.43, 1 Tb 3.31, 3 Ce 3.42-3.44
Ce (0.3143, 0.8664, 0.0000)  1 Ce 2.79
Ce (0.4788, 0.2979, 0.0000)  8 In 3.29-3.43, 1 Tb 3.31, 3 Ce 3.42-3.44
Ce (0.5212, 0.7021, 0.0000)  8 In 3.29-3.43, 1 Tb 3.31, 3 Ce 3.42-3.44
Ce (0.6857, 0.1336, 0.0000)  1 Ce 2.79
Ce (0.7021, 0.5212, 0.0000)  8 In 3.29-3.43, 1 Tb 3.31, 3 Ce 3.42-3.44
Ce (0.8664, 0.3143, 0.0000)  1 Ce 2.79
In (0.0894, 0.4649, 0.5000)  4 In 3.22-3.44, 2 Tb 3.33, 6 Ce 3.43-3.47
In (0.1181, 0.8819, 0.5000)  4 Tb 3.24, 6 Ce 3.41-3.45, 2 In 3.42
In (0.2646, 0.2646, 0.5000)  4 Tb 3.21, 2 In 3.42, 4 Ce 3.42
In (0.3206, 0.6794, 0.5000)  8 Ce 3.27-3.29, 4 In 3.42-3.44
In (0.4649, 0.0894, 0.5000)  4 In 3.22-3.44, 2 Tb 3.33, 6 Ce 3.43-3.47
In (0.5000, 0.5000, 0.5000)  8 Ce 3.32, 4 In 3.42-3.63
In (0.5351, 0.9106, 0.5000)  4 In 3.22-3.44, 2 Tb 3.33, 6 Ce 3.43-3.47
In (0.6794, 0.3206, 0.5000)  8 Ce 3.27-3.29, 4 In 3.42-3.44
In (0.7354, 0.7354, 0.5000)  4 Tb 3.21, 2 In 3.42, 4 Ce 3.42
In (0.8819, 0.1181, 0.5000)  4 Tb 3.24, 6 Ce 3.41-3.45, 2 In 3.42
In (0.9106, 0.5351, 0.5000)  4 In 3.22-3.44, 2 Tb 3.33, 6 Ce 3.43-3.47

Calculated values
The calculated total energy is -109.63 eV/cell. Its calculated volume is 659 Å³/cell. The value obtained for the magnetization is 7.03 μB/f.u.



Density functional theory data (PBE-GGA) for RePIr2 after structural relaxation.

Cell: 8.4015 8.4015 8.4015 Å, 19.23 19.23 19.23°
Last column: nearest neighbours and their distance in Å.
Fractional coordinates of all 4 atoms:
Re (0.0000, 0.0000, 0.0000)  6 Ir 2.78, 6 Re 2.81
P (0.5000, 0.5000, 0.5000)  6 Ir 2.47
Ir (0.2422, 0.2422, 0.2422)  3 P 2.47
Ir (0.7578, 0.7578, 0.7578)  3 P 2.47

Calculated values
The calculated total energy is -35.88 eV/cell. Its calculated volume is 56 Å³/cell. The value obtained for the magnetization is 0.00 μB/f.u.



Density functional theory data (PBE-GGA) for Sr2Zr2C after structural relaxation.

Cell: 6.4945 6.4945 6.1689 Å, 90.00 90.00 90.00°
Last column: nearest neighbours and their distance in Å.
Fractional coordinates of all 10 atoms:
Sr (0.1749, 0.3251, 0.0000)  5 Sr 3.21-3.39, 2 Zr 3.39
Sr (0.3251, 0.8251, 0.0000)  5 Sr 3.21-3.39, 2 Zr 3.39
Sr (0.6749, 0.1749, 0.0000)  5 Sr 3.21-3.39, 2 Zr 3.39
Sr (0.8251, 0.6749, 0.0000)  5 Sr 3.21-3.39, 2 Zr 3.39
Zr (0.1726, 0.6726, 0.5000)  2 C 2.40
Zr (0.3274, 0.1726, 0.5000)  2 C 2.40
Zr (0.6726, 0.8274, 0.5000)  2 C 2.40
Zr (0.8274, 0.3274, 0.5000)  2 C 2.40
C (0.0000, 0.0000, 0.5000)  4 Zr 2.40
C (0.5000, 0.5000, 0.5000)  4 Zr 2.40

Calculated values
As for the excess energy over the best structure of this formula in the dataset: 0 meV/atom. Its calculated volume is 260 Å³/cell. The value obtained for the magnetization is 0.00 μB/f.u.



Which value of magnetization does entry 5 give?
1.09 μB/f.u.



calculated volume of number 8 (La2SmY2Mg)?
466 Å³/cell



What is the calculated volume in the eighth record?
466 Å³/cell



Look up the magnetization of the eighth one.
0.00 μB/f.u.